Computed, not measured: crystalline NaP at its relaxed geometry at the PBE-GGA level of DFT.

CIF file:
```
data_NaP
_space_group_name_H-M_alt 'P 1'
_space_group_IT_number 1
_space_group_name_Hall 'P 1'
_cell_length_a 4.836
_cell_length_b 3.385
_cell_length_c 5.686
_cell_angle_alpha 90.00
_cell_angle_beta 114.11
_cell_angle_gamma 90.00
loop_
_atom_site_label
_atom_site_type_symbol
_atom_site_fract_x
_atom_site_fract_y
_atom_site_fract_z
Na1 Na 0.176 0.250 0.284
Na2 Na 0.824 0.750 0.716
P1 P 0.391 0.250 0.861
P2 P 0.609 0.750 0.139
```

Summary:
Magnetic moment in μB/atom: 0.00
Polymorph energy (0 for the lowest one) in eV/atom: 0.062
Crystal system: monoclinic
Space group: P2_1/m, No. 11


Computed, not measured: crystalline NaP at its relaxed geometry at the PBE-GGA level of DFT.

CIF file:
```
data_NaP
_space_group_name_H-M_alt 'P 1'
_space_group_IT_number 1
_space_group_name_Hall 'P 1'
_cell_length_a 12.778
_cell_length_b 4.552
_cell_length_c 5.485
_cell_angle_alpha 90.00
_cell_angle_beta 90.00
_cell_angle_gamma 90.00
loop_
_atom_site_label
_atom_site_type_symbol
_atom_site_fract_x
_atom_site_fract_y
_atom_site_fract_z
Na1 Na 0.000 0.224 0.000
Na2 Na 0.214 0.745 0.694
Na3 Na 0.286 0.255 0.194
Na4 Na 0.500 0.776 0.500
Na5 Na 0.714 0.255 0.194
Na6 Na 0.786 0.745 0.694
P1 P 0.000 0.691 0.391
P2 P 0.140 0.751 0.194
P3 P 0.360 0.249 0.694
P4 P 0.500 0.309 0.891
P5 P 0.640 0.249 0.694
P6 P 0.860 0.751 0.194
```

Summary:
Magnetic moment in μB/atom: 0.00
Polymorph energy (0 for the lowest one) in eV/atom: 0.125
Crystal system: orthorhombic
Space group: Pmn2_1, No. 31


Computed, not measured: crystalline NaP at its relaxed geometry at the PBE-GGA level of DFT.

CIF file:
```
data_NaP
_space_group_name_H-M_alt 'P 1'
_space_group_IT_number 1
_space_group_name_Hall 'P 1'
_cell_length_a 4.827
_cell_length_b 4.827
_cell_length_c 3.706
_cell_angle_alpha 90.00
_cell_angle_beta 90.00
_cell_angle_gamma 102.43
loop_
_atom_site_label
_atom_site_type_symbol
_atom_site_fract_x
_atom_site_fract_y
_atom_site_fract_z
Na1 Na 0.213 0.787 0.000
Na2 Na 0.787 0.213 0.000
P1 P 0.328 0.328 0.500
P2 P 0.672 0.672 0.500
```

Summary:
Magnetic moment in μB/atom: 0.00
Polymorph energy (0 for the lowest one) in eV/atom: 0.154
Crystal system: orthorhombic
Space group: Cmmm, No. 65


Computed, not measured: crystalline Na5P2 at its relaxed geometry at the PBE-GGA level of DFT.

CIF file:
```
data_Na5P2
_space_group_name_H-M_alt 'P 1'
_space_group_IT_number 1
_space_group_name_Hall 'P 1'
_cell_length_a 8.616
_cell_length_b 8.616
_cell_length_c 8.616
_cell_angle_alpha 129.75
_cell_angle_beta 67.61
_cell_angle_gamma 137.85
loop_
_atom_site_label
_atom_site_type_symbol
_atom_site_fract_x
_atom_site_fract_y
_atom_site_fract_z
Na1 Na 0.013 0.250 0.763
Na2 Na 0.078 0.645 0.723
Na3 Na 0.250 0.250 0.000
Na4 Na 0.422 0.145 0.567
Na5 Na 0.487 0.250 0.237
Na6 Na 0.513 0.750 0.763
Na7 Na 0.578 0.855 0.433
Na8 Na 0.750 0.750 0.000
Na9 Na 0.922 0.355 0.277
Na10 Na 0.987 0.750 0.237
P1 P 0.123 0.257 0.380
P2 P 0.377 0.757 0.133
P3 P 0.623 0.243 0.867
P4 P 0.877 0.743 0.620
```

Summary:
Magnetic moment in μB/atom: 0.14
Raw total energy in eV per cell: -38.27
Crystal system: orthorhombic
Space group: Ibam, No. 72


Computed, not measured: crystalline NaP at its relaxed geometry at the PBE-GGA level of DFT.

CIF file:
```
data_NaP
_space_group_name_H-M_alt 'P 1'
_space_group_IT_number 1
_space_group_name_Hall 'P 1'
_cell_length_a 6.028
_cell_length_b 5.614
_cell_length_c 11.207
_cell_angle_alpha 90.00
_cell_angle_beta 116.66
_cell_angle_gamma 90.00
loop_
_atom_site_label
_atom_site_type_symbol
_atom_site_fract_x
_atom_site_fract_y
_atom_site_fract_z
Na1 Na 0.209 0.116 0.335
Na2 Na 0.209 0.384 0.835
Na3 Na 0.231 0.663 0.523
Na4 Na 0.231 0.837 0.023
Na5 Na 0.769 0.163 0.977
Na6 Na 0.769 0.337 0.477
Na7 Na 0.791 0.616 0.165
Na8 Na 0.791 0.884 0.665
P1 P 0.332 0.159 0.632
P2 P 0.332 0.341 0.132
P3 P 0.334 0.608 0.284
P4 P 0.334 0.892 0.784
P5 P 0.666 0.108 0.216
P6 P 0.666 0.392 0.716
P7 P 0.668 0.659 0.868
P8 P 0.668 0.841 0.368
```

Summary:
Magnetic moment in μB/atom: 0.00
Polymorph energy (0 for the lowest one) in eV/atom: 0.000
Crystal system: monoclinic
Space group: P2_1/c, No. 14


Computed, not measured: crystalline NaP at its relaxed geometry at the PBE-GGA level of DFT.

CIF file:
```
data_NaP
_space_group_name_H-M_alt 'P 1'
_space_group_IT_number 1
_space_group_name_Hall 'P 1'
_cell_length_a 8.148
_cell_length_b 8.148
_cell_length_c 8.148
_cell_angle_alpha 92.45
_cell_angle_beta 92.45
_cell_angle_gamma 156.16
loop_
_atom_site_label
_atom_site_type_symbol
_atom_site_fract_x
_atom_site_fract_y
_atom_site_fract_z
Na1 Na 0.018 0.728 0.746
Na2 Na 0.272 0.018 0.289
Na3 Na 0.728 0.982 0.711
Na4 Na 0.982 0.272 0.254
P1 P 0.281 0.692 0.973
P2 P 0.308 0.281 0.589
P3 P 0.692 0.719 0.411
P4 P 0.719 0.308 0.027
```

Summary:
Magnetic moment in μB/atom: 0.00
Polymorph energy (0 for the lowest one) in eV/atom: 0.145
Crystal system: tetragonal
Space group: I4/m, No. 87


Copy entry 2 word for word.
Computed, not measured: crystalline NaP at its relaxed geometry at the PBE-GGA level of DFT.

CIF file:
```
data_NaP
_space_group_name_H-M_alt 'P 1'
_space_group_IT_number 1
_space_group_name_Hall 'P 1'
_cell_length_a 12.778
_cell_length_b 4.552
_cell_length_c 5.485
_cell_angle_alpha 90.00
_cell_angle_beta 90.00
_cell_angle_gamma 90.00
loop_
_atom_site_label
_atom_site_type_symbol
_atom_site_fract_x
_atom_site_fract_y
_atom_site_fract_z
Na1 Na 0.000 0.224 0.000
Na2 Na 0.214 0.745 0.694
Na3 Na 0.286 0.255 0.194
Na4 Na 0.500 0.776 0.500
Na5 Na 0.714 0.255 0.194
Na6 Na 0.786 0.745 0.694
P1 P 0.000 0.691 0.391
P2 P 0.140 0.751 0.194
P3 P 0.360 0.249 0.694
P4 P 0.500 0.309 0.891
P5 P 0.640 0.249 0.694
P6 P 0.860 0.751 0.194
```

Summary:
Magnetic moment in μB/atom: 0.00
Polymorph energy (0 for the lowest one) in eV/atom: 0.125
Crystal system: orthorhombic
Space group: Pmn2_1, No. 31


Question: Look up the magnetic moment of the sixth one.
Answer: 0.00 μB/atom